(1)
Compound: CaMgB12
Source: Alexandria via LeMat-Bulk
Functional: PBE
Structure: optimized geometry

Calculated values
ΔE_f	-0.20	eV/atom
V	10.07	Å³ per atom
density	2.29	g cm⁻³

a b c (Å): 4.1324 4.1324 8.2574
angles (deg): 90.00 90.00 90.00
Atoms (fractional coordinates):
B 0.5000 0.5000 0.3985
B 0.2015 0.5000 0.2483
B 0.5000 0.5000 0.6015
B 0.5000 0.5000 0.9001
B 0.5000 0.7985 0.2483
B 0.7985 0.5000 0.2483
B 0.7985 0.5000 0.7517
B 0.5000 0.7985 0.7517
B 0.2015 0.5000 0.7517
B 0.5000 0.2015 0.7517
B 0.5000 0.5000 0.0999
B 0.5000 0.2015 0.2483
Mg 0.0000 0.0000 0.0000
Ca 0.0000 0.0000 0.5000

***

(2)
Compound: LaSi2Rh3
Source: Alexandria via LeMat-Bulk
Functional: PBE
Structure: optimized geometry

Calculated values
V	16.71	Å³ per atom
density	8.35	g cm⁻³
energy relative to the elements, uncorrected	-1066	meV per atom

a b c (Å): 6.7224 6.7224 6.7224
angles (deg): 130.26 115.20 85.87
Atoms (fractional coordinates):
Rh 0.2838 0.0000 0.2838
Rh 0.7162 0.0000 0.7162
Rh 0.5000 0.5000 0.5000
Rh 0.2162 0.5000 0.7162
Rh 0.0000 0.5000 0.0000
Rh 0.7838 0.5000 0.2838
Si 0.9220 0.7244 0.8024
Si 0.4220 0.6195 0.1976
Si 0.5780 0.3805 0.8024
Si 0.0780 0.2756 0.1976
La 0.2500 0.9608 0.7108
La 0.7500 0.0392 0.2892

***

(3)
Compound: RbPtBr
Source: Alexandria via LeMat-Bulk
Functional: PBE
Structure: optimized geometry

Calculated values
V	32.60	Å³ per atom
E above lowest polymorph	0.0198	eV/atom
density	6.12	g cm⁻³
energy relative to the elements, uncorrected	-642	meV per atom

a b c (Å): 3.8730 7.1365 7.1365
angles (deg): 82.54 90.00 90.00
Atoms (fractional coordinates):
Pt 0.5000 0.6550 0.3450
Pt 0.0000 0.8395 0.1605
Rb 0.0000 0.9551 0.5915
Rb 0.0000 0.4085 0.0449
Br 0.0000 0.4646 0.5354
Br 0.5000 0.0258 0.9742

***

- Number 3 is which compound?
  RbPtBr

***

- Which value of V does entry 2 give?
  16.71 Å³ per atom

***

- Which of these has the lowest density?
  CaMgB12

***

Please write out number 1 again, unchanged.
Compound: CaMgB12
Source: Alexandria via LeMat-Bulk
Functional: PBE
Structure: optimized geometry

Calculated values
ΔE_f	-0.20	eV/atom
V	10.07	Å³ per atom
density	2.29	g cm⁻³

a b c (Å): 4.1324 4.1324 8.2574
angles (deg): 90.00 90.00 90.00
Atoms (fractional coordinates):
B 0.5000 0.5000 0.3985
B 0.2015 0.5000 0.2483
B 0.5000 0.5000 0.6015
B 0.5000 0.5000 0.9001
B 0.5000 0.7985 0.2483
B 0.7985 0.5000 0.2483
B 0.7985 0.5000 0.7517
B 0.5000 0.7985 0.7517
B 0.2015 0.5000 0.7517
B 0.5000 0.2015 0.7517
B 0.5000 0.5000 0.0999
B 0.5000 0.2015 0.2483
Mg 0.0000 0.0000 0.0000
Ca 0.0000 0.0000 0.5000